# 1
Pm2NdSmY2 PBE-GGA relaxed; ΔE_f = 0.27 eV per atom; E_tot = -60.57 eV for the cell shown; magnetic moment = 0.00 μB/cell
1.0
3.422 0.000 0.000
0.000 6.672 0.000
0.000 0.000 18.179
Y Pm Sm Nd
4 4 2 2
direct
0.000 0.278 0.149
0.500 0.778 0.351
0.500 0.222 0.649
0.000 0.722 0.851
0.000 0.775 0.184
0.500 0.275 0.316
0.000 0.225 0.816
0.500 0.725 0.684
0.500 0.500 0.000
0.000 0.000 0.500
0.500 0.500 0.500
0.000 0.000 0.000

# 2
PmNd2Sm2Y6 PBE-GGA relaxed; ΔE_f = 0.14 eV per atom; E_tot = -60.92 eV for the cell shown; magnetic moment = 0.00 μB/cell
1.0
-6.695 -0.043 -0.576
3.844 -1.872 5.184
2.454 11.831 -0.733
Y Sm Pm Nd
6 2 1 2
direct
0.553 0.856 0.205
0.294 0.294 0.294
0.447 0.144 0.795
0.706 0.706 0.706
0.144 0.447 0.795
0.856 0.553 0.205
0.293 0.707 0.500
0.707 0.293 0.500
0.000 0.000 0.500
0.868 0.132 0.000
0.132 0.868 0.000

# 3
Pm2NdSm2Y6 PBE-GGA relaxed; ΔE_f = 0.15 eV per atom; E_tot = -60.89 eV for the cell shown; magnetic moment = 0.00 μB/cell
1.0
6.674 -0.602 -0.495
-3.822 5.504 -0.495
-1.932 -3.321 11.437
Y Nd Sm Pm
6 1 2 2
direct
0.292 0.292 0.292
0.450 0.147 0.799
0.708 0.708 0.708
0.550 0.853 0.201
0.147 0.450 0.799
0.853 0.550 0.201
0.000 0.000 0.500
0.868 0.132 0.000
0.132 0.868 0.000
0.292 0.708 0.500
0.708 0.292 0.500

Number 1: N(E_F) 21.74 states/eV/cell. Number 2: N(E_F) 17.82 states/eV/cell. Number 3: N(E_F) 16.99 states/eV/cell.